VASP calculation (GGA+U) on a geometry-optimized MnPtF3 structure.

Output
- Polymorph energy (0 for the lowest one): 0.0 kJ per mole of atoms
- Spin magnetization: 3.915 μB per formula unit

Cell: 4.1546 4.1546 4.1546 Å, 90.00 90.00 90.00°
Closest atoms and distances in Å follow each position.
Atoms (fractional coordinates):
F 0.0000 0.5000 0.0000  2 Mn 2.08
F 0.0000 0.0000 0.5000  2 Mn 2.08
F 0.5000 0.0000 0.0000  2 Mn 2.08
Pt 0.5000 0.5000 0.5000  12 F 2.94
Mn 0.0000 0.0000 0.0000  6 F 2.08